A plane-wave DFT calculation with PBE was carried out for a geometry-optimized Hf3AsF structure.

CIF file:
```
data_Hf3AsF
_space_group_name_H-M_alt 'P 1'
_space_group_IT_number 1
_cell_length_a 4.476
_cell_length_b 4.476
_cell_length_c 4.476
_cell_angle_alpha 90.00
_cell_angle_beta 90.00
_cell_angle_gamma 90.00
loop_
_space_group_symop_operation_xyz
'x,y,z'
loop_
_atom_site_label
_atom_site_type_symbol
_atom_site_fract_x
_atom_site_fract_y
_atom_site_fract_z
Hf1 Hf 0.000 0.000 0.500
Hf2 Hf 0.000 0.500 0.000
Hf3 Hf 0.500 0.000 0.000
As1 As 0.500 0.500 0.500
F1 F 0.000 0.000 0.000
```

**Fermi-level density of states**: 6.7 states/eV/cell
**E_form (uncorrected)**: -0.394 eV/atom

A plane-wave DFT calculation with PBE was carried out for a geometry-optimized BaY2MgRu structure.

CIF file:
```
data_BaY2MgRu
_space_group_name_H-M_alt 'P 1'
_space_group_IT_number 1
_cell_length_a 5.366
_cell_length_b 5.366
_cell_length_c 5.523
_cell_angle_alpha 90.00
_cell_angle_beta 90.00
_cell_angle_gamma 90.00
loop_
_space_group_symop_operation_xyz
'x,y,z'
loop_
_atom_site_label
_atom_site_type_symbol
_atom_site_fract_x
_atom_site_fract_y
_atom_site_fract_z
Ba1 Ba 0.000 0.000 0.000
Y1 Y 0.000 0.500 0.500
Y2 Y 0.500 0.000 0.500
Mg1 Mg 0.500 0.500 0.000
Ru1 Ru 0.500 0.500 0.500
```

**Fermi-level density of states**: 3.9 states/eV/cell
**Calculated formation energy**: -0.100 eV/atom

A plane-wave DFT calculation with PBE was carried out for a geometry-optimized HoMgAg2 structure.

CIF file:
```
data_HoMgAg2
_space_group_name_H-M_alt 'P 1'
_space_group_IT_number 1
_cell_length_a 3.486
_cell_length_b 3.486
_cell_length_c 7.006
_cell_angle_alpha 90.00
_cell_angle_beta 90.00
_cell_angle_gamma 90.00
loop_
_space_group_symop_operation_xyz
'x,y,z'
loop_
_atom_site_label
_atom_site_type_symbol
_atom_site_fract_x
_atom_site_fract_y
_atom_site_fract_z
Ho1 Ho 0.000 0.000 0.000
Mg1 Mg 0.000 0.000 0.500
Ag1 Ag 0.500 0.500 0.270
Ag2 Ag 0.500 0.500 0.730
```

**Fermi-level density of states**: 1.8 states/eV/cell
**Calculated formation energy**: -0.266 eV/atom

A plane-wave DFT calculation with PBE was carried out for a geometry-optimized Pr5DyEr3 structure.

CIF file:
```
data_Pr5DyEr3
_space_group_name_H-M_alt 'P 1'
_space_group_IT_number 1
_cell_length_a 10.592
_cell_length_b 10.592
_cell_length_c 11.761
_cell_angle_alpha 121.22
_cell_angle_beta 121.22
_cell_angle_gamma 34.85
loop_
_space_group_symop_operation_xyz
'x,y,z'
loop_
_atom_site_label
_atom_site_type_symbol
_atom_site_fract_x
_atom_site_fract_y
_atom_site_fract_z
Pr1 Pr 0.034 0.688 0.338
Pr2 Pr 0.094 0.906 0.750
Pr3 Pr 0.145 0.496 0.669
Pr4 Pr 0.312 0.966 0.162
Pr5 Pr 0.496 0.145 0.169
Pr6 Pr 0.504 0.855 0.831
Pr7 Pr 0.688 0.034 0.838
Pr8 Pr 0.855 0.504 0.331
Pr9 Pr 0.906 0.094 0.250
Pr10 Pr 0.966 0.312 0.662
Dy1 Dy 0.395 0.605 0.250
Dy2 Dy 0.605 0.395 0.750
Er1 Er 0.100 0.550 0.976
Er2 Er 0.450 0.900 0.524
Er3 Er 0.500 0.500 0.000
Er4 Er 0.500 0.500 0.500
Er5 Er 0.550 0.100 0.476
Er6 Er 0.900 0.450 0.024
```

**Fermi-level density of states**: 25.2 states/eV/cell
**Calculated formation energy**: 0.271 eV/atom

A plane-wave DFT calculation with PBE was carried out for a geometry-optimized CdCoRh2N structure.

CIF file:
```
data_CdCoRh2N
_space_group_name_H-M_alt 'P 1'
_space_group_IT_number 1
_cell_length_a 4.180
_cell_length_b 4.180
_cell_length_c 3.764
_cell_angle_alpha 90.00
_cell_angle_beta 90.00
_cell_angle_gamma 90.00
loop_
_space_group_symop_operation_xyz
'x,y,z'
loop_
_atom_site_label
_atom_site_type_symbol
_atom_site_fract_x
_atom_site_fract_y
_atom_site_fract_z
Cd1 Cd 0.000 0.000 0.000
Co1 Co 0.500 0.500 0.000
Rh1 Rh 0.000 0.500 0.500
Rh2 Rh 0.500 0.000 0.500
N1 N 0.500 0.500 0.500
```

**Fermi-level density of states**: 4.5 states/eV/cell
**E_form (uncorrected)**: 0.039 eV/atom

A plane-wave DFT calculation with PBE was carried out for a geometry-optimized CuGeS2N structure.

CIF file:
```
data_CuGeS2N
_space_group_name_H-M_alt 'P 1'
_space_group_IT_number 1
_cell_length_a 4.766
_cell_length_b 4.766
_cell_length_c 3.614
_cell_angle_alpha 90.00
_cell_angle_beta 90.00
_cell_angle_gamma 90.00
loop_
_space_group_symop_operation_xyz
'x,y,z'
loop_
_atom_site_label
_atom_site_type_symbol
_atom_site_fract_x
_atom_site_fract_y
_atom_site_fract_z
Cu1 Cu 0.000 0.000 0.000
Ge1 Ge 0.500 0.500 0.500
S1 S 0.000 0.500 0.000
S2 S 0.500 0.000 0.000
N1 N 0.000 0.000 0.500
```

**Fermi-level density of states**: 3.7 states/eV/cell
**E_form (uncorrected)**: 0.842 eV/atom

A plane-wave DFT calculation with PBE was carried out for a geometry-optimized LaMgAl2 structure.

CIF file:
```
data_LaMgAl2
_space_group_name_H-M_alt 'P 1'
_space_group_IT_number 1
_cell_length_a 10.089
_cell_length_b 10.089
_cell_length_c 10.089
_cell_angle_alpha 152.18
_cell_angle_beta 152.18
_cell_angle_gamma 39.74
loop_
_space_group_symop_operation_xyz
'x,y,z'
loop_
_atom_site_label
_atom_site_type_symbol
_atom_site_fract_x
_atom_site_fract_y
_atom_site_fract_z
La1 La 0.000 0.000 0.000
La2 La 0.750 0.250 0.500
Mg1 Mg 0.250 0.750 0.500
Mg2 Mg 0.500 0.500 0.000
Al1 Al 0.265 0.625 0.140
Al2 Al 0.375 0.515 0.640
Al3 Al 0.485 0.125 0.860
Al4 Al 0.875 0.735 0.360
```

**Fermi-level density of states**: 4.3 states/eV/cell
**Calculated formation energy**: 0.124 eV/atom

A plane-wave DFT calculation with PBE was carried out for a geometry-optimized TcSbC2F structure.

CIF file:
```
data_TcSbC2F
_space_group_name_H-M_alt 'P 1'
_space_group_IT_number 1
_cell_length_a 3.913
_cell_length_b 3.913
_cell_length_c 5.324
_cell_angle_alpha 90.00
_cell_angle_beta 90.00
_cell_angle_gamma 90.00
loop_
_space_group_symop_operation_xyz
'x,y,z'
loop_
_atom_site_label
_atom_site_type_symbol
_atom_site_fract_x
_atom_site_fract_y
_atom_site_fract_z
Tc1 Tc 0.000 0.000 0.000
Sb1 Sb 0.000 0.000 0.500
C1 C 0.000 0.500 0.000
C2 C 0.500 0.000 0.000
F1 F 0.500 0.500 0.500
```

**Fermi-level density of states**: 2.7 states/eV/cell
**E_form (uncorrected)**: 0.731 eV/atom

A plane-wave DFT calculation with PBE was carried out for a geometry-optimized MgCd2CuBi structure.

CIF file:
```
data_MgCd2CuBi
_space_group_name_H-M_alt 'P 1'
_space_group_IT_number 1
_cell_length_a 5.290
_cell_length_b 5.290
_cell_length_c 5.550
_cell_angle_alpha 90.00
_cell_angle_beta 90.00
_cell_angle_gamma 90.00
loop_
_space_group_symop_operation_xyz
'x,y,z'
loop_
_atom_site_label
_atom_site_type_symbol
_atom_site_fract_x
_atom_site_fract_y
_atom_site_fract_z
Mg1 Mg 0.000 0.000 0.000
Cd1 Cd 0.000 0.500 0.000
Cd2 Cd 0.500 0.000 0.000
Cu1 Cu 0.500 0.500 0.500
Bi1 Bi 0.000 0.000 0.500
```

**Fermi-level density of states**: 2.1 states/eV/cell
**Calculated formation energy**: 0.728 eV/atom

A plane-wave DFT calculation with PBE was carried out for a geometry-optimized GaSnPd5 structure.

CIF file:
```
data_GaSnPd5
_space_group_name_H-M_alt 'P 1'
_space_group_IT_number 1
_cell_length_a 4.055
_cell_length_b 4.055
_cell_length_c 7.255
_cell_angle_alpha 90.00
_cell_angle_beta 90.00
_cell_angle_gamma 90.00
loop_
_space_group_symop_operation_xyz
'x,y,z'
loop_
_atom_site_label
_atom_site_type_symbol
_atom_site_fract_x
_atom_site_fract_y
_atom_site_fract_z
Ga1 Ga 0.000 0.000 0.000
Sn1 Sn 0.500 0.500 0.500
Pd1 Pd 0.000 0.500 0.255
Pd2 Pd 0.000 0.500 0.745
Pd3 Pd 0.500 0.000 0.255
Pd4 Pd 0.500 0.000 0.745
Pd5 Pd 0.500 0.500 0.000
```

**Fermi-level density of states**: 1.9 states/eV/cell
**Calculated formation energy**: -0.460 eV/atom

A plane-wave DFT calculation with PBE was carried out for a geometry-optimized Ca2Ir structure.

CIF file:
```
data_Ca2Ir
_space_group_name_H-M_alt 'P 1'
_space_group_IT_number 1
_cell_length_a 4.867
_cell_length_b 4.867
_cell_length_c 4.867
_cell_angle_alpha 60.00
_cell_angle_beta 60.00
_cell_angle_gamma 60.00
loop_
_space_group_symop_operation_xyz
'x,y,z'
loop_
_atom_site_label
_atom_site_type_symbol
_atom_site_fract_x
_atom_site_fract_y
_atom_site_fract_z
Ca1 Ca 0.250 0.250 0.250
Ca2 Ca 0.750 0.750 0.750
Ir1 Ir 0.000 0.000 0.000
```

**Fermi-level density of states**: 2.6 states/eV/cell
**Calculated formation energy**: -0.217 eV/atom

A plane-wave DFT calculation with PBE was carried out for a geometry-optimized Li2PRh structure.

CIF file:
```
data_Li2PRh
_space_group_name_H-M_alt 'P 1'
_space_group_IT_number 1
_cell_length_a 3.539
_cell_length_b 3.539
_cell_length_c 4.012
_cell_angle_alpha 90.00
_cell_angle_beta 90.00
_cell_angle_gamma 90.00
loop_
_space_group_symop_operation_xyz
'x,y,z'
loop_
_atom_site_label
_atom_site_type_symbol
_atom_site_fract_x
_atom_site_fract_y
_atom_site_fract_z
Li1 Li 0.000 0.500 0.000
Li2 Li 0.500 0.000 0.000
P1 P 0.000 0.000 0.500
Rh1 Rh 0.500 0.500 0.500
```

**Fermi-level density of states**: 1.7 states/eV/cell
**Calculated formation energy**: -0.493 eV/atom

A plane-wave DFT calculation with PBE was carried out for a geometry-optimized SiIr2Pb structure.

CIF file:
```
data_SiIr2Pb
_space_group_name_H-M_alt 'P 1'
_space_group_IT_number 1
_cell_length_a 4.271
_cell_length_b 4.271
_cell_length_c 3.640
_cell_angle_alpha 90.00
_cell_angle_beta 90.00
_cell_angle_gamma 90.00
loop_
_space_group_symop_operation_xyz
'x,y,z'
loop_
_atom_site_label
_atom_site_type_symbol
_atom_site_fract_x
_atom_site_fract_y
_atom_site_fract_z
Si1 Si 0.000 0.000 0.000
Ir1 Ir 0.000 0.500 0.500
Ir2 Ir 0.500 0.000 0.500
Pb1 Pb 0.500 0.500 0.000
```

**Fermi-level density of states**: 2.2 states/eV/cell
**E_form (uncorrected)**: 0.377 eV/atom

A plane-wave DFT calculation with PBE was carried out for a geometry-optimized LaPbN3 structure.

CIF file:
```
data_LaPbN3
_space_group_name_H-M_alt 'P 1'
_space_group_IT_number 1
_cell_length_a 4.420
_cell_length_b 4.420
_cell_length_c 4.420
_cell_angle_alpha 90.00
_cell_angle_beta 90.00
_cell_angle_gamma 90.00
loop_
_space_group_symop_operation_xyz
'x,y,z'
loop_
_atom_site_label
_atom_site_type_symbol
_atom_site_fract_x
_atom_site_fract_y
_atom_site_fract_z
La1 La 0.000 0.000 0.000
Pb1 Pb 0.500 0.500 0.500
N1 N 0.000 0.000 0.500
N2 N 0.000 0.500 0.000
N3 N 0.500 0.000 0.000
```

**Fermi-level density of states**: 5.2 states/eV/cell
**E_form (uncorrected)**: 1.075 eV/atom

A plane-wave DFT calculation with PBE was carried out for a geometry-optimized K7RhO6 structure.

CIF file:
```
data_K7RhO6
_space_group_name_H-M_alt 'P 1'
_space_group_IT_number 1
_cell_length_a 9.846
_cell_length_b 9.846
_cell_length_c 9.846
_cell_angle_alpha 138.35
_cell_angle_beta 99.29
_cell_angle_gamma 95.24
loop_
_space_group_symop_operation_xyz
'x,y,z'
loop_
_atom_site_label
_atom_site_type_symbol
_atom_site_fract_x
_atom_site_fract_y
_atom_site_fract_z
K1 K 0.039 0.226 0.265
K2 K 0.101 0.511 0.863
K3 K 0.148 0.011 0.410
K4 K 0.250 0.250 0.000
K5 K 0.352 0.762 0.863
K6 K 0.399 0.262 0.410
K7 K 0.461 0.726 0.187
K8 K 0.539 0.274 0.813
K9 K 0.601 0.738 0.590
K10 K 0.648 0.238 0.137
K11 K 0.750 0.750 0.000
K12 K 0.852 0.989 0.590
K13 K 0.899 0.489 0.137
K14 K 0.961 0.774 0.735
Rh1 Rh 0.250 0.750 0.500
Rh2 Rh 0.750 0.250 0.500
O1 O 0.099 0.878 0.573
O2 O 0.156 0.908 0.064
O3 O 0.194 0.622 0.220
O4 O 0.306 0.526 0.427
O5 O 0.344 0.408 0.753
O6 O 0.401 0.974 0.780
O7 O 0.599 0.026 0.220
O8 O 0.656 0.592 0.247
O9 O 0.694 0.474 0.573
O10 O 0.806 0.378 0.780
O11 O 0.844 0.092 0.936
O12 O 0.901 0.122 0.427
```

**Fermi-level density of states**: 31.9 states/eV/cell
**E_form (uncorrected)**: -1.078 eV/atom

A plane-wave DFT calculation with PBE was carried out for a geometry-optimized MgPaIn structure.

CIF file:
```
data_MgPaIn
_space_group_name_H-M_alt 'P 1'
_space_group_IT_number 1
_cell_length_a 8.863
_cell_length_b 8.863
_cell_length_c 5.661
_cell_angle_alpha 90.00
_cell_angle_beta 90.00
_cell_angle_gamma 160.32
loop_
_space_group_symop_operation_xyz
'x,y,z'
loop_
_atom_site_label
_atom_site_type_symbol
_atom_site_fract_x
_atom_site_fract_y
_atom_site_fract_z
Mg1 Mg 0.000 0.000 0.000
Mg2 Mg 0.000 0.000 0.500
Pa1 Pa 0.186 0.814 0.750
Pa2 Pa 0.814 0.186 0.250
In1 In 0.368 0.632 0.750
In2 In 0.632 0.368 0.250
```

**Fermi-level density of states**: 9.3 states/eV/cell
**Calculated formation energy**: 0.196 eV/atom

A plane-wave DFT calculation with PBE was carried out for a geometry-optimized CsZnGePSe structure.

CIF file:
```
data_CsZnGePSe
_space_group_name_H-M_alt 'P 1'
_space_group_IT_number 1
_cell_length_a 5.236
_cell_length_b 3.901
_cell_length_c 7.602
_cell_angle_alpha 90.00
_cell_angle_beta 108.11
_cell_angle_gamma 90.00
loop_
_space_group_symop_operation_xyz
'x,y,z'
loop_
_atom_site_label
_atom_site_type_symbol
_atom_site_fract_x
_atom_site_fract_y
_atom_site_fract_z
Cs1 Cs 0.000 0.000 0.000
Zn1 Zn 0.030 0.500 0.470
Ge1 Ge 0.575 0.500 0.555
P1 P 0.303 0.000 0.614
Se1 Se 0.598 0.500 0.229
```

**Fermi-level density of states**: 0.5 states/eV/cell
**E_form (uncorrected)**: -0.307 eV/atom

A plane-wave DFT calculation with PBE was carried out for a geometry-optimized Li4ScSn5 structure.

CIF file:
```
data_Li4ScSn5
_space_group_name_H-M_alt 'P 1'
_space_group_IT_number 1
_cell_length_a 3.426
_cell_length_b 3.426
_cell_length_c 17.839
_cell_angle_alpha 90.00
_cell_angle_beta 90.00
_cell_angle_gamma 90.00
loop_
_space_group_symop_operation_xyz
'x,y,z'
loop_
_atom_site_label
_atom_site_type_symbol
_atom_site_fract_x
_atom_site_fract_y
_atom_site_fract_z
Li1 Li 0.000 0.000 0.098
Li2 Li 0.000 0.000 0.291
Li3 Li 0.000 0.000 0.709
Li4 Li 0.000 0.000 0.902
Sc1 Sc 0.000 0.000 0.500
Sn1 Sn 0.500 0.500 0.000
Sn2 Sn 0.500 0.500 0.196
Sn3 Sn 0.500 0.500 0.389
Sn4 Sn 0.500 0.500 0.611
Sn5 Sn 0.500 0.500 0.804
```

**Fermi-level density of states**: 5.0 states/eV/cell
**Calculated formation energy**: -0.356 eV/atom

A plane-wave DFT calculation with PBE was carried out for a geometry-optimized Tb3Pr2Tl4 structure.

CIF file:
```
data_Tb3Pr2Tl4
_space_group_name_H-M_alt 'P 1'
_space_group_IT_number 1
_cell_length_a 5.355
_cell_length_b 5.355
_cell_length_c 10.795
_cell_angle_alpha 90.11
_cell_angle_beta 90.11
_cell_angle_gamma 60.07
loop_
_space_group_symop_operation_xyz
'x,y,z'
loop_
_atom_site_label
_atom_site_type_symbol
_atom_site_fract_x
_atom_site_fract_y
_atom_site_fract_z
Tb1 Tb 0.000 0.000 0.000
Tb2 Tb 0.334 0.334 0.575
Tb3 Tb 0.666 0.666 0.425
Pr1 Pr 0.333 0.333 0.222
Pr2 Pr 0.667 0.667 0.778
Tl1 Tl 0.000 0.000 0.351
Tl2 Tl 0.000 0.000 0.649
Tl3 Tl 0.334 0.334 0.898
Tl4 Tl 0.666 0.666 0.102
```

**Fermi-level density of states**: 8.3 states/eV/cell
**Calculated formation energy**: -0.301 eV/atom

A plane-wave DFT calculation with PBE was carried out for a geometry-optimized AlPbW structure.

CIF file:
```
data_AlPbW
_space_group_name_H-M_alt 'P 1'
_space_group_IT_number 1
_cell_length_a 5.299
_cell_length_b 5.299
_cell_length_c 5.299
_cell_angle_alpha 141.84
_cell_angle_beta 141.84
_cell_angle_gamma 55.07
loop_
_space_group_symop_operation_xyz
'x,y,z'
loop_
_atom_site_label
_atom_site_type_symbol
_atom_site_fract_x
_atom_site_fract_y
_atom_site_fract_z
Al1 Al 0.000 0.000 0.000
Pb1 Pb 0.310 0.310 0.000
W1 W 0.627 0.627 0.000
```

**Fermi-level density of states**: 2.6 states/eV/cell
**Calculated formation energy**: 0.546 eV/atom